Entry 1:
The following is a GGA-PBE calculation of a relaxed structure of LaBi3S, from Alexandria.

a b c (Å): 6.170 6.170 6.170
angles (deg): 90.00 90.00 90.00
Fractional positions:
Bi 0.000 0.500 0.000
Bi 0.500 0.000 0.000
Bi 0.000 0.000 0.500
La 0.000 0.000 0.000
S 0.500 0.500 0.500

Summary:
Crystal system ... cubic
Electronic total energy ... -16.50 eV for the cell shown
Raw formation energy ... 839 meV/atom
Excess energy over the best structure of this formula in the dataset ... 1019 meV/atom

=====

Entry 2:
The following is a GGA-PBE calculation of a relaxed structure of Cs2PHS4, from Alexandria.

a b c (Å): 7.251 7.251 10.247
angles (deg): 91.89 91.90 106.29
Fractional positions:
S 0.788 0.464 0.572
S 0.141 0.123 0.833
S 0.212 0.536 0.428
S 0.964 0.288 0.072
S 0.377 0.359 0.667
S 0.623 0.641 0.333
S 0.859 0.877 0.167
S 0.036 0.712 0.928
Cs 0.500 0.000 0.500
Cs 0.000 0.000 0.500
Cs 0.500 0.500 0.000
Cs 0.500 0.000 0.000
H 0.000 0.500 0.500
H 0.000 0.500 0.000
P 0.000 0.000 0.000
P 0.500 0.500 0.500

Summary:
Crystal system ... monoclinic
Electronic total energy ... -57.41 eV for the cell shown

=====

Entry 3:
The following is a GGA-PBE calculation of a relaxed structure of FeSb2Ir, from Alexandria.

a b c (Å): 4.396 4.396 5.699
angles (deg): 77.72 77.72 43.11
Fractional positions:
Fe 0.750 0.750 0.750
Sb 0.001 0.001 0.991
Sb 0.499 0.499 0.509
Ir 0.250 0.250 0.250

Summary:
Crystal system ... monoclinic
Electronic total energy ... -24.56 eV for the cell shown
Raw formation energy ... 251 meV/atom
Excess energy over the best structure of this formula in the dataset ... 355 meV/atom

=====

Entry 4:
The following is a GGA-PBE calculation of a relaxed structure of Ag2Br, from Alexandria.

a b c (Å): 5.733 5.733 5.733
angles (deg): 60.00 60.00 60.00
Fractional positions:
Ag 0.125 0.125 0.625
Ag 0.125 0.625 0.125
Ag 0.125 0.125 0.125
Ag 0.625 0.125 0.125
Br 0.500 0.500 0.500
Br 0.750 0.750 0.750

Summary:
Crystal system ... cubic
Electronic total energy ... -13.66 eV for the cell shown
Raw formation energy ... 181 meV/atom
Excess energy over the best structure of this formula in the dataset ... 340 meV/atom

=====

Entry 5:
The following is a GGA-PBE calculation of a relaxed structure of NdBrO2, from Alexandria.

a b c (Å): 4.408 5.166 6.750
angles (deg): 73.40 90.00 90.00
Fractional positions:
Br 0.750 0.781 0.903
Br 0.250 0.219 0.097
Nd 0.750 0.805 0.346
Nd 0.250 0.195 0.654
O 0.750 0.248 0.454
O 0.250 0.752 0.546
O 0.250 0.616 0.377
O 0.750 0.384 0.623

Summary:
Crystal system ... monoclinic
Electronic total energy ... -48.38 eV for the cell shown
Raw formation energy ... -1958 meV/atom

=====

Entry 6:
The following is a GGA-PBE calculation of a relaxed structure of Tb6PmEr12, from Alexandria.

a b c (Å): 8.478 8.478 8.478
angles (deg): 88.42 88.42 88.42
Fractional positions:
Er 0.786 0.647 0.991
Er 0.214 0.353 0.009
Er 0.563 0.228 0.456
Er 0.009 0.214 0.353
Er 0.991 0.786 0.647
Er 0.437 0.772 0.544
Er 0.772 0.544 0.437
Er 0.353 0.009 0.214
Er 0.456 0.563 0.228
Er 0.647 0.991 0.786
Er 0.544 0.437 0.772
Er 0.228 0.456 0.563
Tb 0.315 0.744 0.910
Tb 0.685 0.256 0.090
Tb 0.090 0.685 0.256
Tb 0.910 0.315 0.744
Tb 0.744 0.910 0.315
Tb 0.256 0.090 0.685
Pm 0.000 0.000 0.000

Summary:
Crystal system ... trigonal
Electronic total energy ... -84.25 eV for the cell shown
Energy relative to the elements ... 3.0 eV/f.u.
Excess energy over the best structure of this formula in the dataset ... 0 meV/atom

=====

Entry 7:
The following is a GGA-PBE calculation of a relaxed structure of Hg2BiI, from Alexandria.

a b c (Å): 6.893 6.893 8.736
angles (deg): 66.77 66.77 90.00
Fractional positions:
I 0.250 0.750 0.500
I 0.500 0.500 0.000
Bi 0.750 0.250 0.500
Bi 0.000 0.000 0.000
Hg 0.875 0.921 0.750
Hg 0.375 0.329 0.750
Hg 0.079 0.625 0.250
Hg 0.671 0.125 0.250

Summary:
Crystal system ... tetragonal
Electronic total energy ... -12.44 eV for the cell shown
Raw formation energy ... -47 meV/atom
Excess energy over the best structure of this formula in the dataset ... 42 meV/atom

=====

Entry 8:
The following is a GGA-PBE calculation of a relaxed structure of Tb4Pr4Ho5, from Alexandria.

a b c (Å): 5.067 9.523 9.523
angles (deg): 85.94 74.57 74.57
Fractional positions:
Tb 0.229 0.619 0.924
Tb 0.771 0.381 0.076
Tb 0.153 0.076 0.619
Tb 0.847 0.924 0.381
Ho 0.000 0.000 0.000
Ho 0.461 0.228 0.850
Ho 0.311 0.150 0.228
Ho 0.539 0.772 0.150
Ho 0.689 0.850 0.772
Pr 0.079 0.539 0.303
Pr 0.921 0.461 0.697
Pr 0.382 0.697 0.539
Pr 0.618 0.303 0.461

Summary:
Crystal system ... tetragonal
Electronic total energy ... -60.26 eV for the cell shown
Energy relative to the elements ... 0.3 eV/f.u.

=====

What did the second record say?
The following is a GGA-PBE calculation of a relaxed structure of Cs2PHS4, from Alexandria.

a b c (Å): 7.251 7.251 10.247
angles (deg): 91.89 91.90 106.29
Fractional positions:
S 0.788 0.464 0.572
S 0.141 0.123 0.833
S 0.212 0.536 0.428
S 0.964 0.288 0.072
S 0.377 0.359 0.667
S 0.623 0.641 0.333
S 0.859 0.877 0.167
S 0.036 0.712 0.928
Cs 0.500 0.000 0.500
Cs 0.000 0.000 0.500
Cs 0.500 0.500 0.000
Cs 0.500 0.000 0.000
H 0.000 0.500 0.500
H 0.000 0.500 0.000
P 0.000 0.000 0.000
P 0.500 0.500 0.500

Summary:
Crystal system ... monoclinic
Electronic total energy ... -57.41 eV for the cell shown

=====

The highest electronic total energy belongs to which entry?
Hg2BiI

=====

Copy entry 6 word for word.
The following is a GGA-PBE calculation of a relaxed structure of Tb6PmEr12, from Alexandria.

a b c (Å): 8.478 8.478 8.478
angles (deg): 88.42 88.42 88.42
Fractional positions:
Er 0.786 0.647 0.991
Er 0.214 0.353 0.009
Er 0.563 0.228 0.456
Er 0.009 0.214 0.353
Er 0.991 0.786 0.647
Er 0.437 0.772 0.544
Er 0.772 0.544 0.437
Er 0.353 0.009 0.214
Er 0.456 0.563 0.228
Er 0.647 0.991 0.786
Er 0.544 0.437 0.772
Er 0.228 0.456 0.563
Tb 0.315 0.744 0.910
Tb 0.685 0.256 0.090
Tb 0.090 0.685 0.256
Tb 0.910 0.315 0.744
Tb 0.744 0.910 0.315
Tb 0.256 0.090 0.685
Pm 0.000 0.000 0.000

Summary:
Crystal system ... trigonal
Electronic total energy ... -84.25 eV for the cell shown
Energy relative to the elements ... 3.0 eV/f.u.
Excess energy over the best structure of this formula in the dataset ... 0 meV/atom